A relaxed structure of ErThGa2. Source: Alexandria via LeMat-Bulk, functional PBE-GGA.

The structure belongs to space group Fm-3m (No. 225); the cell edges are 7.260, 7.260 and 7.260 Å and the angles 90.00°, 90.00° and 90.00°. Symmetry generates all atoms from Er at (0.000, 0.000, 0.000), Th at (0.000, 0.000, 0.500) and Ga at (0.250, 0.250, 0.250).

For the raw total energy, the calculation gives -4.979 eV per atom. The magnetic moment comes out at 0.00 Bohr magnetons per cell. The calculated volume is 96 Å³/f.u. The calculation puts the formation energy at -181 kJ/mol of formula units.



A relaxed structure of Er2ThGa4. Source: Alexandria via LeMat-Bulk, functional PBE-GGA.

The structure belongs to space group Immm (No. 71); the cell edges are 4.131, 4.288 and 18.190 Å and the angles 90.00°, 90.00° and 90.00°. Symmetry generates all atoms from Er at (0.000, 0.000, 0.185), Th at (0.000, 0.500, 0.500), Ga at (0.000, 0.000, 0.351) and Ga at (0.000, 0.500, 0.068).

For the raw total energy, the calculation gives -4.733 eV per atom. The magnetic moment comes out at 0.00 Bohr magnetons per cell. The calculated volume is 161 Å³/f.u. The calculation puts the formation energy at -432 kJ/mol of formula units.



A relaxed structure of ErThGa. Source: Alexandria via LeMat-Bulk, functional PBE-GGA.

The structure belongs to space group P3m1 (No. 156); the cell edges are 4.8609, 4.8609 and 4.0339 Å and the angles 90.00°, 90.00° and 120.00°. Symmetry generates all atoms from Er at (0.0000, 0.0000, 0.0000), Th at (0.6667, 0.3333, 0.5145) and Ga at (0.3333, 0.6667, 0.0682).

For the raw total energy, the calculation gives -5.146 eV per atom. The magnetic moment comes out at 0.00 Bohr magnetons per cell. The calculated volume is 83 Å³/f.u. The calculation puts the formation energy at -41 kJ/mol of formula units.



A relaxed structure of ErThTlGa. Source: Alexandria via LeMat-Bulk, functional PBE-GGA.

The structure belongs to space group F-43m (No. 216); the cell edges are 7.499, 7.499 and 7.499 Å and the angles 90.00°, 90.00° and 90.00°. Symmetry generates all atoms from Er at (0.000, 0.000, 0.000), Th at (0.000, 0.000, 0.500), Tl at (0.250, 0.250, 0.250) and Ga at (0.250, 0.250, 0.750).

For the raw total energy, the calculation gives -4.627 eV per atom. The magnetic moment comes out at 0.00 Bohr magnetons per cell. The calculated volume is 105 Å³/f.u. The calculation puts the formation energy at -109 kJ/mol of formula units.



A relaxed structure of ErThZn2Ga2. Source: Alexandria via LeMat-Bulk, functional PBE-GGA.

The structure belongs to space group P-3m1 (No. 164); the cell edges are 4.4086, 4.4086 and 7.4413 Å and the angles 90.00°, 90.00° and 120.00°. Symmetry generates all atoms from Er at (0.0000, 0.0000, 0.0000), Th at (0.0000, 0.0000, 0.5000), Zn at (0.3333, 0.6667, 0.7717) and Ga at (0.3333, 0.6667, 0.2345).

For the raw total energy, the calculation gives -3.950 eV per atom. The magnetic moment comes out at 0.00 Bohr magnetons per cell. The calculated volume is 125 Å³/f.u. The calculation puts the formation energy at -301 kJ/mol of formula units.



A relaxed structure of Er2Th2ZnGa4. Source: Alexandria via LeMat-Bulk, functional PBE-GGA.

The structure belongs to space group I4/mmm (No. 139); the cell edges are 6.924, 6.924 and 8.832 Å and the angles 90.00°, 90.00° and 90.00°. Symmetry generates all atoms from Er at (0.000, 0.000, 0.190), Th at (0.000, 0.500, 0.250), Zn at (0.000, 0.000, 0.500) and Ga at (0.248, 0.248, 0.500).

For the raw total energy, the calculation gives -4.404 eV per atom. The magnetic moment comes out at 0.00 Bohr magnetons per cell. The calculated volume is 212 Å³/f.u. The calculation puts the formation energy at -221 kJ/mol of formula units.



A relaxed structure of ErTiGa2. Source: Alexandria via LeMat-Bulk, functional PBE-GGA.

The structure belongs to space group P4/mmm (No. 123); the cell edges are 4.910, 4.910 and 3.178 Å and the angles 90.00°, 90.00° and 90.00°. Symmetry generates all atoms from Er at (0.000, 0.000, 0.000), Ti at (0.500, 0.500, 0.000) and Ga at (0.000, 0.500, 0.500).

For the raw total energy, the calculation gives -4.954 eV per atom. The magnetic moment comes out at 0.00 Bohr magnetons per cell. The calculated volume is 77 Å³/f.u. The calculation puts the formation energy at -126 kJ/mol of formula units.



A relaxed structure of Er3Ti3Ga8. Source: Alexandria via LeMat-Bulk, functional PBE-GGA.

The structure belongs to space group Immm (No. 71); the cell edges are 4.220, 9.393 and 13.373 Å and the angles 90.00°, 90.00° and 90.00°. Symmetry generates all atoms from Er at (0.000, 0.000, 0.000), Er at (0.000, 0.000, 0.294), Ti at (0.000, 0.182, 0.500), Ti at (0.000, 0.500, 0.000), Ga at (0.000, 0.286, 0.136) and Ga at (0.000, 0.364, 0.344).

For the raw total energy, the calculation gives -4.906 eV per atom. The magnetic moment comes out at 3.99 Bohr magnetons per cell. The calculated volume is 265 Å³/f.u. The calculation puts the formation energy at -684 kJ/mol of formula units.



A relaxed structure of ErTiGa2. Source: Alexandria via LeMat-Bulk, functional PBE-GGA.

The structure belongs to space group R-3m (No. 166, hexagonal axes); the cell edges are 3.4097, 3.4097 and 24.4897 Å and the angles 90.00°, 90.00° and 120.00°. Symmetry generates all atoms from Er at (0.0000, 0.0000, 0.0000), Ti at (0.0000, 0.0000, 0.5000) and Ga at (0.0000, 0.0000, 0.2421).

For the raw total energy, the calculation gives -4.876 eV per atom. The magnetic moment comes out at 0.00 Bohr magnetons per cell. The calculated volume is 82 Å³/f.u. The calculation puts the formation energy at -96 kJ/mol of formula units.



A relaxed structure of ErTiGa2. Source: Alexandria via LeMat-Bulk, functional PBE-GGA.

The structure belongs to space group Fm-3m (No. 225); the cell edges are 6.735, 6.735 and 6.735 Å and the angles 90.00°, 90.00° and 90.00°. Symmetry generates all atoms from Er at (0.000, 0.000, 0.000), Ti at (0.000, 0.000, 0.500) and Ga at (0.250, 0.250, 0.250).

For the raw total energy, the calculation gives -4.997 eV per atom. The magnetic moment comes out at 3.96 Bohr magnetons per cell. The calculated volume is 76 Å³/f.u. The calculation puts the formation energy at -142 kJ/mol of formula units.



A relaxed structure of ErTi2Ga6. Source: Alexandria via LeMat-Bulk, functional PBE-GGA.

The structure belongs to space group Immm (No. 71); the cell edges are 4.056, 6.618 and 12.401 Å and the angles 90.00°, 90.00° and 90.00°. Symmetry generates all atoms from Er at (0.000, 0.000, 0.000), Ti at (0.000, 0.500, 0.116), Ga at (0.000, 0.184, 0.500) and Ga at (0.000, 0.297, 0.308).

For the raw total energy, the calculation gives -4.642 eV per atom. The magnetic moment comes out at 0.00 Bohr magnetons per cell. The calculated volume is 166 Å³/f.u. The calculation puts the formation energy at -315 kJ/mol of formula units.



A relaxed structure of ErTiGa2. Source: Alexandria via LeMat-Bulk, functional PBE-GGA.

The structure belongs to space group P4/mmm (No. 123); the cell edges are 3.448, 3.448 and 6.396 Å and the angles 90.00°, 90.00° and 90.00°. Symmetry generates all atoms from Er at (0.000, 0.000, 0.000), Ti at (0.000, 0.000, 0.500) and Ga at (0.500, 0.500, 0.288).

For the raw total energy, the calculation gives -5.058 eV per atom. The magnetic moment comes out at 0.77 Bohr magnetons per cell. The calculated volume is 76 Å³/f.u. The calculation puts the formation energy at -166 kJ/mol of formula units.



A relaxed structure of ErTiZnGa. Source: Alexandria via LeMat-Bulk, functional PBE-GGA.

The structure belongs to space group F-43m (No. 216); the cell edges are 6.685, 6.685 and 6.685 Å and the angles 90.00°, 90.00° and 90.00°. Symmetry generates all atoms from Er at (0.000, 0.000, 0.000), Ti at (0.000, 0.000, 0.500), Zn at (0.250, 0.250, 0.750) and Ga at (0.250, 0.250, 0.250).

For the raw total energy, the calculation gives -4.502 eV per atom. The magnetic moment comes out at 0.00 Bohr magnetons per cell. The calculated volume is 75 Å³/f.u. The calculation puts the formation energy at -120 kJ/mol of formula units.



A relaxed structure of Er2TlGa. Source: Alexandria via LeMat-Bulk, functional PBE-GGA.

The structure belongs to space group Fm-3m (No. 225); the cell edges are 7.331, 7.331 and 7.331 Å and the angles 90.00°, 90.00° and 90.00°. Symmetry generates all atoms from Er at (0.250, 0.250, 0.250), Tl at (0.000, 0.000, 0.000) and Ga at (0.000, 0.000, 0.500).

For the raw total energy, the calculation gives -4.041 eV per atom. The magnetic moment comes out at 0.00 Bohr magnetons per cell. The calculated volume is 99 Å³/f.u. The calculation puts the formation energy at -159 kJ/mol of formula units.



A relaxed structure of Er5Tl2Ga. Source: Alexandria via LeMat-Bulk, functional PBE-GGA.

The structure belongs to space group Pbam (No. 55); the cell edges are 6.815, 12.702 and 4.972 Å and the angles 90.00°, 90.00° and 90.00°. Symmetry generates all atoms from Er at (0.000, 0.000, 0.000), Er at (0.139, 0.279, 0.000), Er at (0.165, 0.594, 0.500), Tl at (0.110, 0.844, 0.500) and Ga at (0.000, 0.500, 0.000).

For the raw total energy, the calculation gives -4.177 eV per atom. The magnetic moment comes out at 0.00 Bohr magnetons per cell. The calculated volume is 215 Å³/f.u. The calculation puts the formation energy at -274 kJ/mol of formula units.



A relaxed structure of Er5Tl2Ga. Source: Alexandria via LeMat-Bulk, functional PBE-GGA.

The structure belongs to space group Fmm2 (No. 42); the cell edges are 9.042, 9.662 and 9.662 Å and the angles 90.00°, 90.00° and 90.00°. Symmetry generates all atoms from Er at (0.000, 0.000, 0.000), Er at (0.250, 0.000, 0.250), Er at (0.250, 0.250, 0.000), Tl at (0.000, 0.250, 0.250) and Ga at (0.000, 0.000, 0.501).

For the raw total energy, the calculation gives -4.046 eV per atom. The magnetic moment comes out at 0.00 Bohr magnetons per cell. The calculated volume is 211 Å³/f.u. The calculation puts the formation energy at -173 kJ/mol of formula units.



A relaxed structure of Er2TlGa. Source: Alexandria via LeMat-Bulk, functional PBE-GGA.

The structure belongs to space group P4/mmm (No. 123); the cell edges are 3.537, 3.537 and 7.840 Å and the angles 90.00°, 90.00° and 90.00°. Symmetry generates all atoms from Er at (0.000, 0.000, 0.231), Tl at (0.500, 0.500, 0.500) and Ga at (0.500, 0.500, 0.000).

For the raw total energy, the calculation gives -4.070 eV per atom. The magnetic moment comes out at 0.00 Bohr magnetons per cell. The calculated volume is 98 Å³/f.u. The calculation puts the formation energy at -170 kJ/mol of formula units.



A relaxed structure of ErTl2Ga. Source: Alexandria via LeMat-Bulk, functional PBE-GGA.

The structure belongs to space group P4/mmm (No. 123); the cell edges are 4.583, 4.583 and 4.654 Å and the angles 90.00°, 90.00° and 90.00°. Symmetry generates all atoms from Er at (0.000, 0.000, 0.000), Tl at (0.000, 0.500, 0.500) and Ga at (0.500, 0.500, 0.000).

For the raw total energy, the calculation gives -3.330 eV per atom. The magnetic moment comes out at 0.00 Bohr magnetons per cell. The calculated volume is 98 Å³/f.u. The calculation puts the formation energy at -96 kJ/mol of formula units.



A relaxed structure of Er4TlGa. Source: Alexandria via LeMat-Bulk, functional PBE-GGA.

The structure belongs to space group P4/mmm (No. 123); the cell edges are 5.018, 5.018 and 7.129 Å and the angles 90.00°, 90.00° and 90.00°. Symmetry generates all atoms from Er at (0.000, 0.500, 0.238), Tl at (0.000, 0.000, 0.500) and Ga at (0.500, 0.500, 0.000).

For the raw total energy, the calculation gives -4.081 eV per atom. The magnetic moment comes out at 0.00 Bohr magnetons per cell. The calculated volume is 180 Å³/f.u. The calculation puts the formation energy at -81 kJ/mol of formula units.



A relaxed structure of ErTl2Ga. Source: Alexandria via LeMat-Bulk, functional PBE-GGA.

The structure belongs to space group R-3m (No. 166, hexagonal axes); the cell edges are 3.4580, 3.4580 and 33.2036 Å and the angles 90.00°, 90.00° and 120.00°. Symmetry generates all atoms from Er at (0.0000, 0.0000, 0.0000), Tl at (0.0000, 0.0000, 0.0932) and Ga at (0.0000, 0.0000, 0.5000).

For the raw total energy, the calculation gives -2.933 eV per atom. The magnetic moment comes out at 0.00 Bohr magnetons per cell. The calculated volume is 115 Å³/f.u. The calculation puts the formation energy at 57 kJ/mol of formula units.